[1]
PBE Sm2PbO2, optimized geometry; final energy = -7.092 eV per atom; symmetry = I4/mmm; E_form (uncorrected) = -12.4 eV per formula unit
1.0
3.799 0.000 -1.040
-0.285 3.789 -1.040
0.081 0.087 7.751
Sm O Pb
2 2 1
Direct
0.331 0.331 0.662
0.669 0.669 0.338
0.250 0.750 0.500
0.750 0.250 0.500
0.000 0.000 0.000

=====

[2]
PBE HgW, optimized geometry; final energy = -3.952 eV per atom; symmetry = F-43m; formation energy = 2676 meV/atom; ΔE to the lowest computed polymorph = 2171.6 meV per atom
1.0
4.247 0.000 0.000
2.124 3.678 0.000
2.124 1.226 3.468
Hg W
1 1
Direct
0.000 0.000 0.000
0.750 0.750 0.750